This record from Alexandria via LeMat-Bulk describes an optimized crystal structure of Ac4Mn3AgO12. The functional is PBE with a Hubbard U.

raw total energy	-147.40	eV/cell
total moment	0.523	μB/atom
volume	13.19	A^3/atom

```
20
Lattice="6.998 0.000 0.000 -2.333 6.598 0.000 -2.333 -3.299 5.714" Properties=species:S:1:pos:R:3 pbc="T T T"
Ac 1.166 1.649 2.857
Ac -1.166 -1.649 2.857
Ac 3.499 0.000 0.000
Ac -1.166 3.299 0.000
Mn 2.333 -1.649 2.857
Mn 2.333 3.299 0.000
Mn -2.333 1.649 2.857
Ag 0.000 0.000 0.000
O -1.166 0.825 4.285
O 3.419 -2.418 4.187
O 1.246 -0.881 1.526
O 3.499 2.474 1.428
O 3.419 4.835 0.000
O 1.246 1.762 0.000
O 3.499 0.000 2.857
O -1.166 3.299 2.857
O 1.166 -0.825 4.285
O -3.419 2.418 4.187
O 1.166 4.124 1.428
O -1.246 0.881 1.526
```